# 1
PrDyAg4 | Alexandria via LeMat-Bulk | PBE | optimized geometry; total magnetic moment = 0.00 μB/f.u.; energy = -3.622 eV per atom
1.0
0.0000 4.0746 4.0746
4.0746 0.0000 4.0746
4.0746 4.0746 0.0000
Pr Dy Ag
1 1 4
Direct
0.0000 0.0000 0.0000
0.7500 0.7500 0.7500
0.3754 0.3754 0.3754
0.3754 0.3754 0.8738
0.3754 0.8738 0.3754
0.8738 0.3754 0.3754

# 2
CaYIr | Alexandria via LeMat-Bulk | PBE | optimized geometry; total magnetic moment = 0.00 μB/f.u.; energy = -6.268 eV per atom
1.0
0.0000 3.4142 3.4142
3.4142 0.0000 3.4142
3.4142 3.4142 0.0000
Ca Y Ir
1 1 1
Direct
0.0000 0.0000 0.0000
0.5000 0.5000 0.5000
0.7500 0.7500 0.7500

# 3
Cs2HfIF6 | Alexandria via LeMat-Bulk | PBE | optimized geometry; total magnetic moment = 1.00 μB/f.u.; energy relative to the elements, uncorrected = -2.939 eV per atom; energy = -5.383 eV per atom
1.0
-3.5573 3.5573 5.3330
3.5573 -3.5573 5.3330
3.5573 3.5573 -5.3330
Cs Hf I F
2 1 1 6
Direct
0.2500 0.7500 0.5000
0.7500 0.2500 0.5000
0.0000 0.0000 0.0000
0.5000 0.5000 0.0000
0.1880 0.1880 0.0000
0.1995 0.1995 0.3990
0.1995 0.8005 0.0000
0.8005 0.1995 0.0000
0.8005 0.8005 0.6010
0.8119 0.8119 0.0000